Computed, not measured: a relaxed structure of LaNpBiN2 at the PBE level of DFT.

The calculation puts the density of states at the Fermi level at 14.7 states/eV per cell. As for the crystal system: orthorhombic. Its energy relative to the elements, uncorrected is -520 kJ/mol of formula units.

The structure in CIF format:
```
data_LaNpBiN2
_cell_length_a 7.443
_cell_length_b 7.443
_cell_length_c 5.606
_cell_angle_alpha 90.00
_cell_angle_beta 90.00
_cell_angle_gamma 134.92
_symmetry_space_group_name_H-M 'P 1'
_symmetry_Int_Tables_number 1
_symmetry_space_group_name_Hall 'P 1'
loop_
_atom_site_label
_atom_site_fract_x
_atom_site_fract_y
_atom_site_fract_z
La1 0.093 0.907 0.750
La2 0.907 0.093 0.250
Np1 0.428 0.572 0.750
Np2 0.572 0.428 0.250
Bi1 0.249 0.751 0.250
Bi2 0.751 0.249 0.750
N1 0.274 0.274 0.000
N2 0.274 0.274 0.500
N3 0.726 0.726 0.000
N4 0.726 0.726 0.500
```

Computed, not measured: a relaxed structure of Tm4InAg2Ru at the PBE level of DFT.

The calculation puts the density of states at the Fermi level at 4.2 states/eV per cell. As for the crystal system: trigonal. The value obtained for the calculated formation energy is -433 meV/atom.

The structure in CIF format:
```
data_Tm4InAg2Ru
_cell_length_a 8.698
_cell_length_b 8.698
_cell_length_c 8.698
_cell_angle_alpha 33.73
_cell_angle_beta 33.73
_cell_angle_gamma 33.73
_symmetry_space_group_name_H-M 'P 1'
_symmetry_Int_Tables_number 1
_symmetry_space_group_name_Hall 'P 1'
loop_
_atom_site_label
_atom_site_fract_x
_atom_site_fract_y
_atom_site_fract_z
Tm1 0.114 0.114 0.114
Tm2 0.367 0.367 0.367
Tm3 0.633 0.633 0.633
Tm4 0.886 0.886 0.886
In1 0.500 0.500 0.500
Ag1 0.243 0.243 0.243
Ag2 0.757 0.757 0.757
Ru1 0.000 0.000 0.000
```

Computed, not measured: a relaxed structure of Er5Rh2Pb at the PBE level of DFT.

The calculation puts the density of states at the Fermi level at 15.4 states/eV per cell. As for the crystal system: tetragonal. The value obtained for the calculated formation energy is -675 meV/atom.

The structure in CIF format:
```
data_Er5Rh2Pb
_cell_length_a 8.657
_cell_length_b 8.657
_cell_length_c 8.657
_cell_angle_alpha 126.88
_cell_angle_beta 126.88
_cell_angle_gamma 78.45
_symmetry_space_group_name_H-M 'P 1'
_symmetry_Int_Tables_number 1
_symmetry_space_group_name_Hall 'P 1'
loop_
_atom_site_label
_atom_site_fract_x
_atom_site_fract_y
_atom_site_fract_z
Er1 0.000 0.000 0.000
Er2 0.022 0.522 0.813
Er3 0.209 0.022 0.500
Er4 0.291 0.791 0.813
Er5 0.478 0.291 0.500
Er6 0.500 0.500 0.000
Er7 0.522 0.709 0.500
Er8 0.709 0.209 0.187
Er9 0.791 0.978 0.500
Er10 0.978 0.478 0.187
Rh1 0.140 0.360 0.500
Rh2 0.360 0.860 0.220
Rh3 0.640 0.140 0.780
Rh4 0.860 0.640 0.500
Pb1 0.250 0.250 0.000
Pb2 0.750 0.750 0.000
```

Computed, not measured: a relaxed structure of In2RePb at the PBE level of DFT.

The calculation puts the density of states at the Fermi level at 2.5 states/eV per cell. As for the crystal system: monoclinic. The value obtained for the calculated formation energy is 718 meV/atom. The energy above the most stable polymorph in this dataset is 273.3 meV/atom.

The structure in CIF format:
```
data_In2RePb
_cell_length_a 3.515
_cell_length_b 4.840
_cell_length_c 5.583
_cell_angle_alpha 90.00
_cell_angle_beta 104.80
_cell_angle_gamma 90.00
_symmetry_space_group_name_H-M 'P 1'
_symmetry_Int_Tables_number 1
_symmetry_space_group_name_Hall 'P 1'
loop_
_atom_site_label
_atom_site_fract_x
_atom_site_fract_y
_atom_site_fract_z
In1 0.145 0.000 0.276
In2 0.855 0.000 0.724
Re1 0.500 0.500 0.500
Pb1 0.500 0.500 0.000
```

Computed, not measured: a relaxed structure of CrSn2Sb at the PBE level of DFT.

The calculation puts the density of states at the Fermi level at 19.7 states/eV per cell. As for the crystal system: tetragonal. Its energy relative to the elements, uncorrected is 208 kJ/mol of formula units.

The structure in CIF format:
```
data_CrSn2Sb
_cell_length_a 6.257
_cell_length_b 6.257
_cell_length_c 13.786
_cell_angle_alpha 90.00
_cell_angle_beta 90.00
_cell_angle_gamma 90.00
_symmetry_space_group_name_H-M 'P 1'
_symmetry_Int_Tables_number 1
_symmetry_space_group_name_Hall 'P 1'
loop_
_atom_site_label
_atom_site_fract_x
_atom_site_fract_y
_atom_site_fract_z
Cr1 0.000 0.000 0.000
Cr2 0.000 0.500 0.250
Cr3 0.500 0.000 0.750
Cr4 0.500 0.500 0.500
Sn1 0.219 0.250 0.125
Sn2 0.250 0.719 0.375
Sn3 0.250 0.781 0.875
Sn4 0.281 0.250 0.625
Sn5 0.719 0.750 0.625
Sn6 0.750 0.219 0.875
Sn7 0.750 0.281 0.375
Sn8 0.781 0.750 0.125
Sb1 0.000 0.000 0.500
Sb2 0.000 0.500 0.750
Sb3 0.500 0.000 0.250
Sb4 0.500 0.500 0.000
```

Computed, not measured: a relaxed structure of Rb3TeSe at the PBE level of DFT.

The calculation puts the density of states at the Fermi level at 17.7 states/eV per cell. As for the crystal system: cubic. The energy above the most stable polymorph in this dataset is 244.8 meV/atom. Its energy relative to the elements, uncorrected is -344 kJ/mol of formula units.

The structure in CIF format:
```
data_Rb3TeSe
_cell_length_a 6.486
_cell_length_b 6.486
_cell_length_c 6.486
_cell_angle_alpha 90.00
_cell_angle_beta 90.00
_cell_angle_gamma 90.00
_symmetry_space_group_name_H-M 'P 1'
_symmetry_Int_Tables_number 1
_symmetry_space_group_name_Hall 'P 1'
loop_
_atom_site_label
_atom_site_fract_x
_atom_site_fract_y
_atom_site_fract_z
Rb1 0.000 0.000 0.500
Rb2 0.000 0.500 0.000
Rb3 0.500 0.000 0.000
Te1 0.500 0.500 0.500
Se1 0.000 0.000 0.000
```

Computed, not measured: a relaxed structure of Sc2CrSi at the PBE level of DFT.

The calculation puts the density of states at the Fermi level at 8.7 states/eV per cell. As for the crystal system: trigonal. Its energy relative to the elements, uncorrected is 31 kJ/mol of formula units.

The structure in CIF format:
```
data_Sc2CrSi
_cell_length_a 3.269
_cell_length_b 3.269
_cell_length_c 24.782
_cell_angle_alpha 90.00
_cell_angle_beta 90.00
_cell_angle_gamma 120.00
_symmetry_space_group_name_H-M 'P 1'
_symmetry_Int_Tables_number 1
_symmetry_space_group_name_Hall 'P 1'
loop_
_atom_site_label
_atom_site_fract_x
_atom_site_fract_y
_atom_site_fract_z
Sc1 0.000 0.000 0.000
Sc2 0.000 0.000 0.215
Sc3 0.333 0.667 0.667
Sc4 0.333 0.667 0.882
Sc5 0.667 0.333 0.333
Sc6 0.667 0.333 0.548
Cr1 0.000 0.000 0.465
Cr2 0.333 0.667 0.132
Cr3 0.667 0.333 0.799
Si1 0.000 0.000 0.743
Si2 0.333 0.667 0.410
Si3 0.667 0.333 0.077
```

Computed, not measured: a relaxed structure of ZrP2Ru4 at the PBE level of DFT.

The calculation puts the density of states at the Fermi level at 12.0 states/eV per cell. As for the crystal system: tetragonal. The value obtained for the calculated formation energy is -607 meV/atom.

The structure in CIF format:
```
data_ZrP2Ru4
_cell_length_a 7.364
_cell_length_b 7.364
_cell_length_c 3.795
_cell_angle_alpha 90.00
_cell_angle_beta 90.00
_cell_angle_gamma 90.00
_symmetry_space_group_name_H-M 'P 1'
_symmetry_Int_Tables_number 1
_symmetry_space_group_name_Hall 'P 1'
loop_
_atom_site_label
_atom_site_fract_x
_atom_site_fract_y
_atom_site_fract_z
Zr1 0.000 0.000 0.000
Zr2 0.500 0.500 0.500
P1 0.233 0.233 0.500
P2 0.267 0.733 0.000
P3 0.733 0.267 0.000
P4 0.767 0.767 0.500
Ru1 0.067 0.670 0.500
Ru2 0.170 0.433 0.000
Ru3 0.330 0.933 0.500
Ru4 0.433 0.170 0.000
Ru5 0.567 0.830 0.000
Ru6 0.670 0.067 0.500
Ru7 0.830 0.567 0.000
Ru8 0.933 0.330 0.500
```

Computed, not measured: a relaxed structure of TiCo2GeCl at the PBE level of DFT.

The calculation puts the density of states at the Fermi level at 5.7 states/eV per cell. As for the crystal system: tetragonal. Its energy relative to the elements, uncorrected is 330 kJ/mol of formula units.

The structure in CIF format:
```
data_TiCo2GeCl
_cell_length_a 4.400
_cell_length_b 4.400
_cell_length_c 4.999
_cell_angle_alpha 90.00
_cell_angle_beta 90.00
_cell_angle_gamma 90.00
_symmetry_space_group_name_H-M 'P 1'
_symmetry_Int_Tables_number 1
_symmetry_space_group_name_Hall 'P 1'
loop_
_atom_site_label
_atom_site_fract_x
_atom_site_fract_y
_atom_site_fract_z
Ti1 0.000 0.000 0.000
Co1 0.000 0.500 0.500
Co2 0.500 0.000 0.500
Ge1 0.000 0.000 0.500
Cl1 0.500 0.500 0.000
```

Computed, not measured: a relaxed structure of Pr2Al2Ge3 at the PBE level of DFT.

The calculation puts the density of states at the Fermi level at 6.5 states/eV per cell. As for the crystal system: monoclinic. The value obtained for the calculated formation energy is -571 meV/atom.

The structure in CIF format:
```
data_Pr2Al2Ge3
_cell_length_a 8.198
_cell_length_b 8.198
_cell_length_c 12.009
_cell_angle_alpha 125.39
_cell_angle_beta 125.39
_cell_angle_gamma 30.29
_symmetry_space_group_name_H-M 'P 1'
_symmetry_Int_Tables_number 1
_symmetry_space_group_name_Hall 'P 1'
loop_
_atom_site_label
_atom_site_fract_x
_atom_site_fract_y
_atom_site_fract_z
Pr1 0.099 0.099 0.443
Pr2 0.233 0.233 0.841
Pr3 0.767 0.767 0.159
Pr4 0.901 0.901 0.557
Al1 0.094 0.094 0.158
Al2 0.451 0.451 0.189
Al3 0.549 0.549 0.811
Al4 0.906 0.906 0.842
Ge1 0.108 0.108 0.957
Ge2 0.340 0.340 0.691
Ge3 0.415 0.415 0.376
Ge4 0.585 0.585 0.624
Ge5 0.660 0.660 0.309
Ge6 0.892 0.892 0.043
```

Computed, not measured: a relaxed structure of Nb2ReOs at the PBE level of DFT.

The calculation puts the density of states at the Fermi level at 2.7 states/eV per cell. As for the crystal system: tetragonal. The value obtained for the calculated formation energy is -212 meV/atom.

The structure in CIF format:
```
data_Nb2ReOs
_cell_length_a 3.196
_cell_length_b 3.196
_cell_length_c 6.401
_cell_angle_alpha 90.00
_cell_angle_beta 90.00
_cell_angle_gamma 90.00
_symmetry_space_group_name_H-M 'P 1'
_symmetry_Int_Tables_number 1
_symmetry_space_group_name_Hall 'P 1'
loop_
_atom_site_label
_atom_site_fract_x
_atom_site_fract_y
_atom_site_fract_z
Nb1 0.000 0.000 0.246
Nb2 0.000 0.000 0.754
Re1 0.500 0.500 0.000
Os1 0.500 0.500 0.500
```

Computed, not measured: a relaxed structure of Mg4Pd9Au2 at the PBE level of DFT.

The calculation puts the density of states at the Fermi level at 5.4 states/eV per cell. As for the crystal system: trigonal. The value obtained for the calculated formation energy is -450 meV/atom.

The structure in CIF format:
```
data_Mg4Pd9Au2
_cell_length_a 4.470
_cell_length_b 4.470
_cell_length_c 14.101
_cell_angle_alpha 90.00
_cell_angle_beta 90.00
_cell_angle_gamma 120.00
_symmetry_space_group_name_H-M 'P 1'
_symmetry_Int_Tables_number 1
_symmetry_space_group_name_Hall 'P 1'
loop_
_atom_site_label
_atom_site_fract_x
_atom_site_fract_y
_atom_site_fract_z
Mg1 0.333 0.667 0.157
Mg2 0.333 0.667 0.381
Mg3 0.667 0.333 0.619
Mg4 0.667 0.333 0.843
Pd1 0.000 0.000 0.101
Pd2 0.000 0.000 0.305
Pd3 0.000 0.000 0.500
Pd4 0.000 0.000 0.695
Pd5 0.000 0.000 0.899
Pd6 0.333 0.667 0.574
Pd7 0.333 0.667 0.969
Pd8 0.667 0.333 0.031
Pd9 0.667 0.333 0.426
Au1 0.333 0.667 0.772
Au2 0.667 0.333 0.228
```

- What is the formula in the eleventh record?
  Nb2ReOs